First-principles (PBE with a Hubbard U) data for crystalline OsWNO2 at its relaxed geometry, as listed in the Alexandria database.

Values from the calculation:
N(E_F) = 2.8 states/eV/cell
Uncorrected energy = -6.92 eV per atom
Space group = No. 123
Volume = 62.9 Å³/cell

Cell lengths 3.914, 3.914, 4.106 Å; angles 90.00, 90.00, 90.00 degrees
Positions (direct):
Os 0.000 0.000 0.000
W 0.500 0.500 0.500
N 0.500 0.500 0.000
O 0.000 0.500 0.500
O 0.500 0.000 0.500